# 1
The following is a DFT calculation (SCAN) of a crystal of InOsRh2 relaxed with PBEsol.

abc: 4.3987 4.3987 4.3987
angles: 60.00 60.00 60.00
Atoms (fractional coordinates):
In 0.0000 0.0000 0.0000
Os 0.2500 0.2500 0.2500
Rh 0.5000 0.5000 0.5000
Rh 0.7500 0.7500 0.7500

Properties
The final energy is -1.57649 Ha/atom. The calculation puts the formation energy at 1.216 eV per formula unit. As for the symmetry: F-43m (216). The value obtained for the density of states at the Fermi level is 1.01 states/eV/atom.


# 2
The following is a DFT calculation (SCAN) of a crystal of ZrBeCr relaxed with PBEsol.

abc: 4.1276 4.1276 4.1276
angles: 60.00 60.00 60.00
Atoms (fractional coordinates):
Zr 0.0000 0.0000 0.0000
Be 0.5000 0.5000 0.5000
Cr 0.7500 0.7500 0.7500

Properties
The final energy is -0.62985 Ha/atom. The calculation puts the formation energy at 2.020 eV per formula unit. As for the symmetry: F-43m (216). The value obtained for the density of states at the Fermi level is 1.05 states/eV/atom.


# 3
The following is a DFT calculation (SCAN) of a crystal of TaPdS2 relaxed with PBEsol.

abc: 6.4426 6.4426 6.4426
angles: 128.95 128.95 75.10
Atoms (fractional coordinates):
Ta 0.0000 0.0000 0.0000
Ta 0.7500 0.2500 0.5000
Pd 0.2500 0.7500 0.5000
Pd 0.5000 0.5000 0.0000
S 0.1219 0.6250 0.9969
S 0.3750 0.3719 0.4969
S 0.6281 0.1250 0.0031
S 0.8750 0.8781 0.5031

Properties
The value obtained for the raw formation energy is -0.457 eV/atom. The final energy is -1.10655 Ha/atom. As for the symmetry: I-42d (122). The value obtained for the density of states at the Fermi level is 0.50 states/eV/atom.


- Number 3 is which compound?
  TaPdS2


- final energy of number 3 (TaPdS2)?
  -1.10655 Ha/atom


What did the second record say?
The following is a DFT calculation (SCAN) of a crystal of ZrBeCr relaxed with PBEsol.

abc: 4.1276 4.1276 4.1276
angles: 60.00 60.00 60.00
Atoms (fractional coordinates):
Zr 0.0000 0.0000 0.0000
Be 0.5000 0.5000 0.5000
Cr 0.7500 0.7500 0.7500

Properties
The final energy is -0.62985 Ha/atom. The calculation puts the formation energy at 2.020 eV per formula unit. As for the symmetry: F-43m (216). The value obtained for the density of states at the Fermi level is 1.05 states/eV/atom.